PBE TeH, optimized geometry; magnetization = 0.0 μB per formula unit; SG = Imma (74); offset from the most stable computed form = 98 meV/atom
1.0
-2.9720 -0.9403 0.6491
0.4772 -5.7821 1.6179
-0.4051 0.0380 6.0094
Te H
2 2
Direct
0.1589 0.3411 0.3411
0.0911 0.9089 0.9089
0.9726 0.5274 0.5274
0.2774 0.7226 0.7226